A geometry-optimized Li2CrIrN structure. Source: Alexandria, functional PBEsol.

Results
- Final energy: -32.8 eV for the cell shown
- E_form (uncorrected): -0.048 eV/atom
- DOS(E_F): 3.746 states/eV/cell

Cell: 3.666 3.787 3.787 Å, 90.00 90.00 90.00°
Atoms (fractional coordinates):
Cr1 0.500 0.000 0.000
Ir1 0.500 0.500 0.500
Li1 0.000 0.000 0.500
Li2 0.000 0.500 0.000
N1 0.000 0.000 0.000

***

A geometry-optimized MgCrIr2 structure. Source: Alexandria, functional PBEsol.

Results
- Final energy: -31.1 eV for the cell shown
- ΔH_f (0 K): 0.530 eV per formula unit
- DOS(E_F): 4.643 states/eV/cell

Cell: 2.691 4.988 4.988 Å, 114.30 102.36 102.36°
Atoms (fractional coordinates):
Cr1 0.500 0.500 0.500
Ir1 0.000 0.500 0.000
Ir2 0.000 0.000 0.500
Mg1 0.500 0.000 0.000

***

A geometry-optimized MgCr2Ir structure. Source: Alexandria, functional PBEsol.

Results
- Final energy: -31.5 eV for the cell shown
- ΔH_f (0 K): 0.537 eV per formula unit
- DOS(E_F): 3.088 states/eV/cell

Cell: 4.250 4.250 4.250 Å, 60.00 60.00 60.00°
Atoms (fractional coordinates):
Cr1 0.000 0.000 0.000
Cr2 0.750 0.750 0.750
Ir1 0.500 0.500 0.500
Mg1 0.250 0.250 0.250

***

A geometry-optimized Mg2CrIr structure. Source: Alexandria, functional PBEsol.

Results
- Final energy: -23.1 eV for the cell shown
- ΔH_f (0 K): 0.356 eV per formula unit
- Excess energy over the best structure of this formula in the dataset: 0 meV per atom
- DOS(E_F): 2.449 states/eV/cell

Cell: 3.991 3.991 4.847 Å, 114.31 114.31 90.00°
Atoms (fractional coordinates):
Cr1 0.500 0.500 0.000
Ir1 0.000 0.000 0.000
Mg1 0.750 0.250 0.500
Mg2 0.250 0.750 0.500

***

A geometry-optimized MgCrIr2 structure. Source: Alexandria, functional PBEsol.

Results
- Final energy: -32.6 eV for the cell shown
- ΔH_f (0 K): -1.009 eV per formula unit
- DOS(E_F): 2.831 states/eV/cell

Cell: 2.761 2.761 7.268 Å, 90.00 90.00 90.00°
Atoms (fractional coordinates):
Cr1 0.500 0.500 0.500
Mg1 0.500 0.500 0.000
Ir1 0.000 0.000 0.726
Ir2 0.000 0.000 0.274

***

A geometry-optimized Mg2CrIr structure. Source: Alexandria, functional PBEsol.

Results
- Final energy: -23.0 eV for the cell shown
- ΔH_f (0 K): 0.542 eV per formula unit
- Excess energy over the best structure of this formula in the dataset: 46 meV per atom
- DOS(E_F): 2.259 states/eV/cell

Cell: 3.129 4.492 5.200 Å, 115.59 107.51 90.00°
Atoms (fractional coordinates):
Cr1 0.500 0.000 0.000
Ir1 0.000 0.500 0.000
Mg1 0.741 0.741 0.482
Mg2 0.259 0.259 0.518

***

A geometry-optimized MgCrIr2 structure. Source: Alexandria, functional PBEsol.

Results
- Final energy: -30.6 eV for the cell shown
- ΔH_f (0 K): 0.972 eV per formula unit
- DOS(E_F): 5.266 states/eV/cell

Cell: 4.321 4.321 4.321 Å, 60.00 60.00 60.00°
Atoms (fractional coordinates):
Cr1 0.500 0.500 0.500
Ir1 0.000 0.000 0.000
Ir2 0.250 0.250 0.250
Mg1 0.750 0.750 0.750

***

A geometry-optimized MgCr2Ir structure. Source: Alexandria, functional PBEsol.

Results
- Final energy: -31.5 eV for the cell shown
- ΔH_f (0 K): 0.541 eV per formula unit
- DOS(E_F): 2.198 states/eV/cell

Cell: 3.008 4.122 4.393 Å, 90.00 90.00 90.00°
Atoms (fractional coordinates):
Cr1 0.000 0.000 0.000
Cr2 0.500 0.500 0.000
Ir1 0.500 0.000 0.500
Mg1 0.000 0.500 0.500

***

A geometry-optimized MgCrIr2 structure. Source: Alexandria, functional PBEsol.

Results
- Final energy: -31.5 eV for the cell shown
- ΔH_f (0 K): 0.096 eV per formula unit
- DOS(E_F): 3.950 states/eV/cell

Cell: 2.719 3.920 5.279 Å, 90.00 90.00 90.00°
Atoms (fractional coordinates):
Cr1 0.500 0.500 0.772
Ir1 0.000 0.000 0.977
Ir2 0.500 0.500 0.264
Mg1 0.000 0.000 0.487

***

A geometry-optimized MgCr2Ir structure. Source: Alexandria, functional PBEsol.

Results
- Final energy: -30.9 eV for the cell shown
- ΔH_f (0 K): 1.076 eV per formula unit
- DOS(E_F): 4.623 states/eV/cell

Cell: 3.542 3.542 4.861 Å, 111.36 111.36 90.00°
Atoms (fractional coordinates):
Cr1 0.750 0.250 0.500
Cr2 0.250 0.750 0.500
Ir1 0.500 0.500 0.000
Mg1 0.000 0.000 0.000

***

A geometry-optimized MnCrIr2 structure. Source: Alexandria, functional PBEsol.

Results
- Final energy: -40.4 eV for the cell shown
- ΔH_f (0 K): -0.718 eV per formula unit
- Excess energy over the best structure of this formula in the dataset: 63 meV per atom
- DOS(E_F): 3.978 states/eV/cell

Cell: 3.748 3.748 4.486 Å, 114.70 114.70 90.00°
Atoms (fractional coordinates):
Cr1 0.000 0.000 0.000
Ir1 0.750 0.250 0.500
Ir2 0.250 0.750 0.500
Mn1 0.500 0.500 0.000

***

A geometry-optimized MnCrIr2 structure. Source: Alexandria, functional PBEsol.

Results
- Final energy: -40.6 eV for the cell shown
- ΔH_f (0 K): -0.971 eV per formula unit
- Excess energy over the best structure of this formula in the dataset: 0 meV per atom
- DOS(E_F): 3.005 states/eV/cell

Cell: 3.633 3.760 3.760 Å, 90.00 90.00 90.00°
Atoms (fractional coordinates):
Cr1 0.500 0.000 0.000
Ir1 0.000 0.000 0.500
Ir2 0.000 0.500 0.000
Mn1 0.500 0.500 0.500

***

A geometry-optimized MnCrIr2 structure. Source: Alexandria, functional PBEsol.

Results
- Final energy: -40.3 eV for the cell shown
- ΔH_f (0 K): -0.642 eV per formula unit
- Excess energy over the best structure of this formula in the dataset: 82 meV per atom
- DOS(E_F): 3.658 states/eV/cell

Cell: 2.647 4.486 4.486 Å, 107.69 90.00 90.00°
Atoms (fractional coordinates):
Cr1 0.500 0.500 0.500
Ir1 0.000 0.500 0.000
Ir2 0.000 0.000 0.500
Mn1 0.500 0.000 0.000

***

A geometry-optimized MnCrIr2 structure. Source: Alexandria, functional PBEsol.

Results
- Final energy: -40.0 eV for the cell shown
- ΔH_f (0 K): -0.400 eV per formula unit
- Excess energy over the best structure of this formula in the dataset: 143 meV per atom
- DOS(E_F): 4.304 states/eV/cell

Cell: 2.638 4.495 4.527 Å, 100.59 106.94 90.00°
Atoms (fractional coordinates):
Cr1 0.753 0.250 0.506
Ir1 0.003 0.019 0.007
Ir2 0.246 0.730 0.492
Mn1 0.497 0.502 0.995

***

A geometry-optimized Mn2CrIr structure. Source: Alexandria, functional PBEsol.

Results
- Final energy: -39.2 eV for the cell shown
- ΔH_f (0 K): 0.390 eV per formula unit
- DOS(E_F): 4.729 states/eV/cell

Cell: 2.572 2.572 8.330 Å, 81.12 81.12 60.00°
Atoms (fractional coordinates):
Cr1 0.497 0.497 0.509
Ir1 0.250 0.250 0.250
Mn1 0.005 0.005 0.984
Mn2 0.748 0.748 0.757

***

A geometry-optimized Mn2CrIr structure. Source: Alexandria, functional PBEsol.

Results
- Final energy: -38.9 eV for the cell shown
- ΔH_f (0 K): 0.705 eV per formula unit
- DOS(E_F): 5.338 states/eV/cell

Cell: 2.563 4.625 4.857 Å, 116.52 102.15 96.44°
Atoms (fractional coordinates):
Cr1 0.500 0.000 0.000
Ir1 0.000 0.500 0.000
Mn1 0.000 0.000 0.500
Mn2 0.500 0.500 0.500

***

A geometry-optimized Mn2CrIr structure. Source: Alexandria, functional PBEsol.

Results
- Final energy: -39.7 eV for the cell shown
- ΔH_f (0 K): -0.132 eV per formula unit
- DOS(E_F): 4.786 states/eV/cell

Cell: 3.591 3.591 4.429 Å, 113.91 113.91 90.00°
Atoms (fractional coordinates):
Cr1 0.000 0.000 0.000
Ir1 0.250 0.750 0.500
Mn1 0.500 0.500 0.000
Mn2 0.750 0.250 0.500

***

A geometry-optimized Mn2CrIr structure. Source: Alexandria, functional PBEsol.

Results
- Final energy: -39.5 eV for the cell shown
- ΔH_f (0 K): 0.054 eV per formula unit
- DOS(E_F): 1.851 states/eV/cell

Cell: 4.153 4.153 4.153 Å, 60.00 60.00 60.00°
Atoms (fractional coordinates):
Cr1 0.000 0.000 0.000
Ir1 0.500 0.500 0.500
Mn1 0.250 0.250 0.250
Mn2 0.750 0.750 0.750

***

A geometry-optimized MnCrP2Ir structure. Source: Alexandria, functional PBEsol.

Results
- Final energy: -37.4 eV for the cell shown
- ΔH_f (0 K): 4.046 eV per formula unit
- DOS(E_F): 3.544 states/eV/cell

Cell: 4.242 4.242 4.647 Å, 90.00 90.00 90.00°
Atoms (fractional coordinates):
Cr1 0.000 0.000 0.000
Ir1 0.000 0.000 0.500
Mn1 0.500 0.500 0.500
P1 0.000 0.500 0.000
P2 0.500 0.000 0.000

***

A geometry-optimized CrMoIr2 structure. Source: Alexandria, functional PBEsol.

Results
- Final energy: -42.6 eV for the cell shown
- ΔH_f (0 K): -0.896 eV per formula unit
- Excess energy over the best structure of this formula in the dataset: 30 meV per atom
- DOS(E_F): 2.788 states/eV/cell

Cell: 2.696 3.766 5.385 Å, 90.00 90.00 90.00°
Atoms (fractional coordinates):
Cr1 0.500 0.500 0.500
Mo1 0.500 0.500 0.000
Ir1 0.000 0.000 0.741
Ir2 0.000 0.000 0.259

***

A geometry-optimized CrMoIr structure. Source: Alexandria, functional PBEsol.

Results
- Final energy: -29.9 eV for the cell shown
- ΔH_f (0 K): 1.896 eV per formula unit
- Excess energy over the best structure of this formula in the dataset: 517 meV per atom
- DOS(E_F): 3.980 states/eV/cell

Cell: 4.154 4.154 4.154 Å, 60.00 60.00 60.00°
Atoms (fractional coordinates):
Cr1 0.500 0.500 0.500
Ir1 0.250 0.250 0.250
Mo1 0.000 0.000 0.000

***

A geometry-optimized CrMoIr2 structure. Source: Alexandria, functional PBEsol.

Results
- Final energy: -41.9 eV for the cell shown
- ΔH_f (0 K): -0.293 eV per formula unit
- Excess energy over the best structure of this formula in the dataset: 180 meV per atom
- DOS(E_F): 4.119 states/eV/cell

Cell: 2.692 2.692 8.884 Å, 81.29 81.29 60.00°
Atoms (fractional coordinates):
Cr1 0.000 0.000 0.000
Ir1 0.254 0.254 0.238
Ir2 0.746 0.746 0.762
Mo1 0.500 0.500 0.500

***

A geometry-optimized CrMoIr structure. Source: Alexandria, functional PBEsol.

Results
- Final energy: -31.5 eV for the cell shown
- ΔH_f (0 K): 0.344 eV per formula unit
- Excess energy over the best structure of this formula in the dataset: 0 meV per atom
- DOS(E_F): 3.345 states/eV/cell

Cell: 2.676 2.676 6.643 Å, 90.00 90.00 120.00°
Atoms (fractional coordinates):
Cr1 0.000 0.000 0.989
Ir1 0.333 0.667 0.682
Mo1 0.667 0.333 0.329

***

A geometry-optimized CrMoIr2 structure. Source: Alexandria, functional PBEsol.

Results
- Final energy: -42.5 eV for the cell shown
- ΔH_f (0 K): -0.822 eV per formula unit
- Excess energy over the best structure of this formula in the dataset: 48 meV per atom
- DOS(E_F): 3.039 states/eV/cell

Cell: 2.696 4.638 4.638 Å, 109.27 90.00 90.00°
Atoms (fractional coordinates):
Cr1 0.500 0.500 0.500
Mo1 0.500 0.000 0.000
Ir1 0.000 0.500 0.000
Ir2 0.000 0.000 0.500

***

A geometry-optimized CrMoIr2 structure. Source: Alexandria, functional PBEsol.

Results
- Final energy: -42.6 eV for the cell shown
- ΔH_f (0 K): -0.924 eV per formula unit
- Excess energy over the best structure of this formula in the dataset: 23 meV per atom
- DOS(E_F): 3.064 states/eV/cell

Cell: 3.800 3.800 4.642 Å, 114.16 114.16 90.00°
Atoms (fractional coordinates):
Cr1 0.500 0.500 0.000
Mo1 0.000 0.000 0.000
Ir1 0.750 0.250 0.500
Ir2 0.250 0.750 0.500

***

A geometry-optimized Cr4MoIr structure. Source: Alexandria, functional PBEsol.

Results
- Final energy: -62.8 eV for the cell shown
- ΔH_f (0 K): -0.252 eV per formula unit
- DOS(E_F): 5.409 states/eV/cell

Cell: 4.705 4.705 4.705 Å, 60.00 60.00 60.00°
Atoms (fractional coordinates):
Cr1 0.626 0.626 0.121
Cr2 0.121 0.626 0.626
Cr3 0.626 0.121 0.626
Cr4 0.626 0.626 0.626
Mo1 0.000 0.000 0.000
Ir1 0.250 0.250 0.250

***

A geometry-optimized Cr2MoIr structure. Source: Alexandria, functional PBEsol.

Results
- Final energy: -41.4 eV for the cell shown
- ΔH_f (0 K): 0.649 eV per formula unit
- DOS(E_F): 4.081 states/eV/cell

Cell: 2.616 2.616 8.257 Å, 90.00 90.00 111.57°
Atoms (fractional coordinates):
Cr1 0.000 0.000 0.985
Cr2 0.500 0.500 0.765
Ir1 0.000 0.000 0.512
Mo1 0.500 0.500 0.238

***

A geometry-optimized CrMoIr2 structure. Source: Alexandria, functional PBEsol.

Results
- Final energy: -42.7 eV for the cell shown
- ΔH_f (0 K): -1.015 eV per formula unit
- Excess energy over the best structure of this formula in the dataset: 0 meV per atom
- DOS(E_F): 3.243 states/eV/cell

Cell: 2.708 4.296 4.695 Å, 90.00 90.00 90.00°
Atoms (fractional coordinates):
Cr1 0.500 0.500 0.204
Mo1 0.500 0.000 0.538
Ir1 0.000 0.000 0.056
Ir2 0.000 0.500 0.702

***

A geometry-optimized CrMoIr2 structure. Source: Alexandria, functional PBEsol.

Results
- Final energy: -42.6 eV for the cell shown
- ΔH_f (0 K): -0.946 eV per formula unit
- Excess energy over the best structure of this formula in the dataset: 17 meV per atom
- DOS(E_F): 2.971 states/eV/cell

Cell: 2.689 2.689 7.530 Å, 90.00 90.00 90.00°
Atoms (fractional coordinates):
Cr1 0.500 0.500 0.500
Mo1 0.500 0.500 0.000
Ir1 0.000 0.000 0.735
Ir2 0.000 0.000 0.265

***

A geometry-optimized TiCrMoIr2 structure. Source: Alexandria, functional PBEsol.

Results
- Final energy: -44.6 eV for the cell shown
- ΔH_f (0 K): 5.351 eV per formula unit
- DOS(E_F): 6.771 states/eV/cell

Cell: 4.220 4.418 4.418 Å, 90.00 90.00 90.00°
Atoms (fractional coordinates):
Cr1 0.000 0.000 0.000
Mo1 0.500 0.500 0.500
Ir1 0.000 0.000 0.500
Ir2 0.000 0.500 0.000
Ti1 0.500 0.000 0.000

***

A geometry-optimized CrIrN2 structure. Source: Alexandria, functional PBEsol.

Results
- Final energy: -33.8 eV for the cell shown
- E_form (uncorrected): 0.825 eV/atom
- DOS(E_F): 3.020 states/eV/cell

Cell: 3.684 3.684 3.684 Å, 60.00 60.00 60.00°
Atoms (fractional coordinates):
Cr1 0.000 0.000 0.000
Ir1 0.500 0.500 0.500
N1 0.250 0.250 0.250
N2 0.750 0.750 0.750